1.
# Ta2SiAu

Ta2SiAu after structural relaxation (PBE-GGA, Alexandria via LeMat-Bulk).

Properties
N(E_F): 2.68 states/eV/cell
Volume: 16.48 Å³ per atom
Energy relative to the elements, uncorrected: -0.1571 eV per atom

Geometry as CIF:
```
data_Ta2SiAu
_cell_length_a 2.915
_cell_length_b 2.915
_cell_length_c 7.759
_cell_angle_alpha 90.00
_cell_angle_beta 90.00
_cell_angle_gamma 90.00
_space_group_name_H-M_alt 'P 4/m m m'
_space_group_IT_number 123
_space_group_name_Hall '-P 4 2'
loop_
_atom_site_label
_atom_site_fract_x
_atom_site_fract_y
_atom_site_fract_z
Ta1 0.000 0.000 0.226
Si1 0.500 0.500 0.000
Au1 0.500 0.500 0.500
```

=====

2.
# TaSiAu2

TaSiAu2 after structural relaxation (PBE-GGA, Alexandria via LeMat-Bulk).

Properties
N(E_F): 12.69 states/eV/cell
Volume: 17.09 Å³ per atom
Energy relative to the elements, uncorrected: 0.0561 eV per atom

Geometry as CIF:
```
data_TaSiAu2
_cell_length_a 2.9702
_cell_length_b 2.9702
_cell_length_c 26.8410
_cell_angle_alpha 90.00
_cell_angle_beta 90.00
_cell_angle_gamma 120.00
_space_group_name_H-M_alt 'R 3 m'
_space_group_IT_number 160
_space_group_name_Hall 'R 3 -2"'
loop_
_atom_site_label
_atom_site_fract_x
_atom_site_fract_y
_atom_site_fract_z
Ta1 0.0000 0.0000 0.0000
Si1 0.0000 0.0000 0.7445
Au1 0.0000 0.0000 0.2474
Au2 0.0000 0.0000 0.4881
```

=====

3.
# Ta2SiAu

Ta2SiAu after structural relaxation (PBE-GGA, Alexandria via LeMat-Bulk).

Properties
N(E_F): 3.04 states/eV/cell
Volume: 16.79 Å³ per atom
Energy relative to the elements, uncorrected: -0.1140 eV per atom

Geometry as CIF:
```
data_Ta2SiAu
_cell_length_a 3.674
_cell_length_b 4.499
_cell_length_c 8.128
_cell_angle_alpha 90.00
_cell_angle_beta 90.00
_cell_angle_gamma 90.00
_space_group_name_H-M_alt 'I m m m'
_space_group_IT_number 71
_space_group_name_Hall '-I 2 2'
loop_
_atom_site_label
_atom_site_fract_x
_atom_site_fract_y
_atom_site_fract_z
Ta1 0.000 0.000 0.233
Si1 0.000 0.500 0.500
Au1 0.000 0.500 0.000
```